{"formula": "Sc2ZnTe", "functional": "PBE-GGA", "state": "relaxed", "cell": [[-0.816, 2.378, -2.678], [-2.083, -2.549, -1.628], [-5.013, 1.991, 3.296]], "species": ["Te", "Sc", "Sc", "Zn"], "fractional_positions": [[0.500, 0.500, 0.250], [0.000, 0.000, 0.992], [0.000, 0.000, 0.508], [0.500, 0.500, 0.750]], "final_energy_ev_per_cell": -19.38, "spacegroup": "P4/mmm (123)", "crystal_system": "tetragonal", "raw_formation_energy_ev_per_atom": -0.57, "total_magnetization_mub_per_fu": 0.26}